(1)
Entry from Alexandria via LeMat-Bulk: a relaxed structure of Dy8Zn2Rh (PBE).

a b c (Å): 7.515 15.911 6.051
angles (deg): 90.00 123.14 90.00
Space group Cm (No. 8)
Asymmetric unit:
Dy 0.000 0.000 0.000 [2 per cell]
Dy 0.040 0.385 0.820 [4 per cell]
Dy 0.053 0.500 0.352 [2 per cell]
Dy 0.268 0.195 0.136 [4 per cell]
Dy 0.493 0.381 0.474 [4 per cell]
Zn 0.268 0.278 0.649 [4 per cell]
Rh 0.264 0.000 0.830 [2 per cell]

As for the magnetization: 0.00 Bohr magnetons per cell. For the distance to the lowest polymorph of the same formula, the calculation gives 58 meV per atom.



(2)
Entry from Alexandria via LeMat-Bulk: a relaxed structure of Dy2ZnRh2 (PBE).

a b c (Å): 10.150 5.366 7.714
angles (deg): 90.00 106.77 90.00
Space group C2/c (No. 15)
Asymmetric unit:
Dy 0.146 0.149 0.149 [8 per cell]
Zn 0.000 0.349 0.750 [4 per cell]
Rh 0.133 0.355 0.511 [8 per cell]

As for the magnetization: 0.00 Bohr magnetons per cell.



(3)
Entry from Alexandria via LeMat-Bulk: a relaxed structure of Dy3Zn2Rh (PBE).

a b c (Å): 3.534 3.534 10.496
angles (deg): 90.00 90.00 90.00
Space group P4/mmm (No. 123)
Asymmetric unit:
Dy 0.000 0.000 0.000 [1 per cell]
Dy 0.000 0.000 0.345 [2 per cell]
Zn 0.500 0.500 0.168 [2 per cell]
Rh 0.500 0.500 0.500 [1 per cell]

As for the magnetization: 0.00 Bohr magnetons per cell. For the distance to the lowest polymorph of the same formula, the calculation gives 2 meV per atom.



Result set for VASP energy: -4.45; -5.81; -4.48 eV per atom, one per record in the order listed.
Result set for calculated formation energy: -4.8; -17.7; -12.3 kcal/mol of atoms, one per record in the order listed.